DFT (PBE with a Hubbard U) results for a geometry-optimized Ag2WF structure.

The magnetic moment comes out at 18.7 μB per cell. The value obtained for the density is 9.37 g/cm³. For the polymorph energy (0 for the lowest one), the calculation gives 413 meV per atom.

Cell lengths 6.670, 6.670, 6.670 Å; angles 90.00, 90.00, 90.00 degrees
Space group Fm-3m (No. 225)
Unique sites:
Ag 0.250 0.250 0.250 x8
W 0.000 0.000 0.000 x4
F 0.000 0.000 0.500 x4